## Sb2AuSe (PBEsol)

Data for an optimized crystal structure of Sb2AuSe.

The structure in extended XYZ format:
```
4
Lattice="-3.270 1.464 0.283 -1.456 -2.598 -3.380 0.873 -3.487 5.307" Properties=species:S:1:pos:R:3 pbc="T T T"
Sb -0.746 -2.029 1.881
Sb -3.817 -4.525 2.120
Se -2.403 -0.676 -1.448
Au -3.102 -2.580 0.317
```

For the total energy, the calculation gives -4.313 eV/atom. The value obtained for the density of states at the Fermi level is 1.597 states/eV per cell. As for the crystal system: orthorhombic. The calculation puts the energy relative to the elements, uncorrected at -91 meV/atom. As for the space-group type: Imm2 (44).

=====

## K3Ir (PBEsol)

Data for an optimized crystal structure of K3Ir.

The structure in extended XYZ format:
```
4
Lattice="-0.315 2.781 2.754 -2.046 -4.981 2.931 6.004 0.061 -1.241" Properties=species:S:1:pos:R:3 pbc="T T T"
K -1.180 -1.100 2.842
K 2.845 1.421 0.756
K 1.979 -2.460 0.845
Ir 0.000 0.000 0.000
```

For the energy above the most stable polymorph in this dataset, the calculation gives 182 meV/atom. Its energy of formation from the pure elements is 1.007 eV/atom. For the total energy, the calculation gives -2.299 eV/atom. The value obtained for the density of states at the Fermi level is 3.031 states/eV per cell. As for the crystal system: trigonal. As for the space-group type: R-3m (166).

=====

## ZnCo2Br (PBEsol)

Data for an optimized crystal structure of ZnCo2Br.

The structure in extended XYZ format:
```
4
Lattice="-2.009 -2.146 -0.539 2.075 -3.817 -0.826 -0.859 -2.587 5.212" Properties=species:S:1:pos:R:3 pbc="T T T"
Co -0.013 -6.387 0.615
Co -0.780 -2.163 3.231
Br -1.005 -1.073 -0.270
Zn -0.397 -4.275 1.923
```

For the energy above the most stable polymorph in this dataset, the calculation gives 17 meV/atom. For the total energy, the calculation gives -4.365 eV/atom. The value obtained for the density of states at the Fermi level is 5.147 states/eV per cell. As for the crystal system: monoclinic. The calculation puts the energy relative to the elements, uncorrected at 367 meV/atom. As for the space-group type: C2/m (12).

=====

## Ca10P6SO24 (PBEsol)

Data for an optimized crystal structure of Ca10P6SO24.

The structure in extended XYZ format:
```
41
Lattice="6.799 0.000 0.000 0.000 9.426 0.000 0.000 -4.713 8.163" Properties=species:S:1:pos:R:3 pbc="T T T"
Ca 5.135 -3.458 6.154
Ca 5.135 1.113 2.092
Ca 1.664 3.600 6.071
Ca 1.664 2.368 0.082
Ca 1.664 8.171 2.009
Ca 6.702 4.713 2.721
Ca 3.255 4.713 2.721
Ca 5.135 2.345 8.081
Ca 3.544 0.000 5.442
Ca 0.097 0.000 5.442
P 1.721 1.089 7.933
P 5.078 3.624 0.230
P 5.078 7.415 3.023
P 5.078 3.101 4.910
P 1.721 -2.702 5.140
P 1.721 1.612 3.253
O 0.373 0.862 3.154
O 6.426 3.163 0.830
O 5.146 -0.908 6.860
O 1.653 5.487 4.216
O 2.051 -0.255 7.220
O 4.019 2.542 0.562
O 0.373 -2.413 5.839
O 2.780 0.785 2.483
O 6.426 7.126 2.324
O 4.019 7.668 1.921
O 2.051 1.667 4.774
O 4.749 4.968 0.943
O 4.019 3.928 5.681
O 6.426 3.851 5.009
O 4.749 3.046 3.389
O 5.146 1.682 5.520
O 2.051 -1.412 4.332
O 0.373 1.550 7.333
O 4.749 6.125 3.831
O 2.780 -2.955 6.242
O 5.146 -0.774 3.947
O 1.653 3.031 2.644
O 1.653 5.621 1.303
O 2.780 2.171 7.601
S 0.000 0.000 0.000
```

For the energy above the most stable polymorph in this dataset, the calculation gives 0 meV/atom. For the total energy, the calculation gives -7.456 eV/atom. The value obtained for the density of states at the Fermi level is 0.000 states/eV per cell. As for the crystal system: trigonal. The calculation puts the energy relative to the elements, uncorrected at -2909 meV/atom. As for the space-group type: P-3 (147).

=====

## TaAgAs2 (PBEsol)

Data for an optimized crystal structure of TaAgAs2.

The structure in extended XYZ format:
```
4
Lattice="3.794 0.000 0.000 0.000 3.794 0.000 -1.897 -1.897 4.693" Properties=species:S:1:pos:R:3 pbc="T T T"
Ta 1.897 1.897 0.000
As 1.897 0.000 2.347
As 0.000 0.000 0.000
Ag 0.000 1.897 2.347
```

Its energy of formation from the pure elements is 0.114 eV/atom. For the total energy, the calculation gives -6.405 eV/atom. The value obtained for the density of states at the Fermi level is 1.881 states/eV per cell. As for the crystal system: tetragonal. As for the space-group type: I-4m2 (119).

=====

## LiTa3Zn (PBEsol)

Data for an optimized crystal structure of LiTa3Zn.

The structure in extended XYZ format:
```
5
Lattice="4.689 0.000 0.000 0.000 4.689 0.000 0.000 0.000 4.689" Properties=species:S:1:pos:R:3 pbc="T T T"
Ta 2.345 0.000 0.000
Ta 0.000 0.000 2.345
Ta 0.000 2.345 0.000
Li 2.345 2.345 2.345
Zn 0.000 0.000 0.000
```

Its energy of formation from the pure elements is 1.532 eV/atom. For the total energy, the calculation gives -6.709 eV/atom. The value obtained for the density of states at the Fermi level is 7.346 states/eV per cell. As for the crystal system: cubic. As for the space-group type: Pm-3m (221).

=====

## Re2AgW (PBEsol)

Data for an optimized crystal structure of Re2AgW.

The structure in extended XYZ format:
```
4
Lattice="2.754 0.000 0.000 0.000 4.002 0.000 0.000 0.000 5.546" Properties=species:S:1:pos:R:3 pbc="T T T"
Ag 0.000 2.001 4.161
Re 1.377 0.000 0.126
Re 0.000 2.001 1.343
W 1.377 0.000 2.690
```

For the energy above the most stable polymorph in this dataset, the calculation gives 0 meV/atom. Its energy of formation from the pure elements is 0.394 eV/atom. For the total energy, the calculation gives -10.551 eV/atom. The value obtained for the density of states at the Fermi level is 2.504 states/eV per cell. As for the crystal system: orthorhombic. As for the space-group type: Pmm2 (25).

=====

## ZrScCl (PBEsol)

Data for an optimized crystal structure of ZrScCl.

The structure in extended XYZ format:
```
3
Lattice="-1.490 0.354 -2.733 -0.794 -2.809 1.138 -3.795 3.851 3.829" Properties=species:S:1:pos:R:3 pbc="T T T"
Sc -3.365 1.789 2.067
Cl -6.053 1.383 2.219
Zr -2.738 -0.378 0.183
```

For the total energy, the calculation gives -6.517 eV/atom. The value obtained for the density of states at the Fermi level is 2.213 states/eV per cell. As for the crystal system: orthorhombic. The calculation puts the energy relative to the elements, uncorrected at -616 meV/atom. As for the space-group type: Fmm2 (42).

=====

## Ba3TlB (PBEsol)

Data for an optimized crystal structure of Ba3TlB.

The structure in extended XYZ format:
```
5
Lattice="5.802 0.000 0.000 0.000 5.802 0.000 0.000 0.000 5.802" Properties=species:S:1:pos:R:3 pbc="T T T"
Tl 2.901 2.901 2.901
Ba 0.000 2.901 0.000
Ba 0.000 0.000 2.901
Ba 2.901 0.000 0.000
B 0.000 0.000 0.000
```

For the energy above the most stable polymorph in this dataset, the calculation gives 0 meV/atom. Its energy of formation from the pure elements is 0.293 eV/atom. For the total energy, the calculation gives -2.925 eV/atom. The value obtained for the density of states at the Fermi level is 7.244 states/eV per cell. As for the crystal system: cubic. As for the space-group type: Pm-3m (221).

=====

## HgAsPb2 (PBEsol)

Data for an optimized crystal structure of HgAsPb2.

The structure in extended XYZ format:
```
4
Lattice="3.682 0.000 0.020 0.000 3.682 0.000 -0.045 0.000 7.572" Properties=species:S:1:pos:R:3 pbc="T T T"
As 1.841 1.841 0.010
Pb -0.008 0.000 1.683
Pb 3.645 0.000 5.909
Hg 1.819 1.841 3.796
```

For the energy above the most stable polymorph in this dataset, the calculation gives 15 meV/atom. Its energy of formation from the pure elements is 0.033 eV/atom. For the total energy, the calculation gives -3.385 eV/atom. The value obtained for the density of states at the Fermi level is 1.861 states/eV per cell. As for the crystal system: tetragonal. As for the space-group type: P4/mmm (123).

=====

## LiAlAg (PBEsol)

Data for an optimized crystal structure of LiAlAg.

The structure in extended XYZ format:
```
3
Lattice="4.163 0.000 0.000 2.081 3.605 0.000 2.081 1.202 3.399" Properties=species:S:1:pos:R:3 pbc="T T T"
Al 4.163 2.403 1.700
Ag 0.000 0.000 0.000
Li 2.081 1.202 0.850
```

For the energy above the most stable polymorph in this dataset, the calculation gives 394 meV/atom. Its energy of formation from the pure elements is 0.192 eV/atom. For the total energy, the calculation gives -2.931 eV/atom. The value obtained for the density of states at the Fermi level is 1.374 states/eV per cell. As for the crystal system: cubic. As for the space-group type: F-43m (216).

=====

## Ca2Os2O7 (PBEsol)

Data for an optimized crystal structure of Ca2Os2O7.

The structure in extended XYZ format:
```
22
Lattice="7.205 0.000 0.000 3.602 6.257 0.001 3.602 1.898 5.963" Properties=species:S:1:pos:R:3 pbc="T T T"
Os 5.403 3.129 0.000
Os 3.602 4.078 2.982
Os 1.801 3.129 0.000
Os 3.602 0.000 0.000
O 5.072 3.422 1.893
O 7.205 5.363 5.503
O 5.072 4.733 4.070
O 7.205 2.793 0.460
O 12.277 6.919 5.669
O 2.132 1.236 0.295
O 3.602 2.273 3.779
O 9.337 3.422 1.893
O 9.337 6.919 5.669
O 5.072 1.236 0.295
O 7.205 2.111 4.001
O 9.337 4.733 4.070
O 10.807 5.882 2.184
O 7.205 6.045 1.962
Ca 7.205 4.078 2.982
Ca 5.403 0.949 2.981
Ca 1.801 0.949 2.981
Ca 0.000 0.000 0.000
```

For the total energy, the calculation gives -7.758 eV/atom. The value obtained for the density of states at the Fermi level is 10.117 states/eV per cell. As for the crystal system: orthorhombic. The calculation puts the energy relative to the elements, uncorrected at -1809 meV/atom. As for the space-group type: Imma (74).

=====

Spin magnetization readings, ordered: 0.00 0.00 3.03 0.10 0.00 0.00 0.00 0.00 2.26 0.00 0.00 0.84 μB/f.u.